LaMn2CdGe: optimized geometry, GGA-PBE.

## Properties
magnetization	6.67	Bohr magnetons per cell
formation energy from the elements	1.37	eV/atom

a = 4.993 Å, b = 4.993 Å, c = 5.583 Å
α = 90.00°, β = 90.00°, γ = 90.00°
Sites, in units of the cell vectors:
La 0.000 0.000 0.000
Mn 0.000 0.500 0.000
Mn 0.500 0.000 0.000
Cd 0.500 0.500 0.500
Ge 0.000 0.000 0.500